No. 1
First-principles (PBE) data for TaHgTe2 after structural relaxation, as listed in Alexandria.

a = 7.2668 Å, b = 7.2668 Å, c = 6.2553 Å
α = 54.49°, β = 54.49°, γ = 90.00°
Last column: nearest neighbours and their distance in Å.
Fractional coordinates of all 8 atoms:
1 Te 0.2697 0.2303 0.0000  4 Hg 2.96-3.30, 4 Ta 3.13
2 Te 0.2303 0.7303 0.0000  4 Hg 2.96-3.30, 4 Ta 3.13
3 Te 0.7303 0.7697 0.0000  4 Hg 2.96-3.30, 4 Ta 3.13
4 Te 0.7697 0.2697 0.0000  4 Hg 2.96-3.30, 4 Ta 3.13
5 Hg 0.7500 0.2500 0.5000  8 Te 2.96-3.30
6 Hg 0.2500 0.7500 0.5000  8 Te 2.96-3.30
7 Ta 0.2500 0.2500 0.5000  8 Te 3.13
8 Ta 0.7500 0.7500 0.5000  8 Te 3.13

For the total energy, the calculation gives -4.0654 eV/atom. The value obtained for the density of states at the Fermi level is 6.8 states/eV per cell. The symmetry is I4/mcm. For the energy relative to the elements, uncorrected, the calculation gives 0.5440 eV per atom.

***

No. 2
First-principles (PBE) data for Pm4C2S after structural relaxation, as listed in Alexandria.

a = 3.7926 Å, b = 3.7926 Å, c = 13.3955 Å
α = 81.86°, β = 81.86°, γ = 60.00°
Last column: nearest neighbours and their distance in Å.
Fractional coordinates of all 7 atoms:
1 C 0.5816 0.5816 0.2552  6 Pm 2.52-2.69
2 C 0.4184 0.4184 0.7448  6 Pm 2.52-2.69
3 Pm 0.2875 0.2875 0.1375  3 C 2.69, 3 S 2.85
4 Pm 0.7125 0.7125 0.8625  3 C 2.69, 3 S 2.85
5 Pm 0.8835 0.8835 0.3494  3 C 2.52
6 Pm 0.1165 0.1165 0.6506  3 C 2.52
7 S 0.0000 0.0000 0.0000  6 Pm 2.85

For the total energy, the calculation gives -6.6606 eV/atom. The value obtained for the density of states at the Fermi level is 2.8 states/eV per cell. The symmetry is R-3m. For the energy relative to the elements, uncorrected, the calculation gives -0.7209 eV per atom.

***

No. 3
First-principles (PBE) data for CsRb2Y after structural relaxation, as listed in Alexandria.

a = 4.1627 Å, b = 4.1627 Å, c = 17.0882 Å
α = 83.00°, β = 83.00°, γ = 60.00°
Last column: nearest neighbours and their distance in Å.
Fractional coordinates of all 4 atoms:
1 Rb 0.9231 0.9231 0.2307  1 Y 3.90, 6 Rb 4.16
2 Rb 0.0769 0.0769 0.7693  1 Y 3.90, 6 Rb 4.16
3 Y 0.0000 0.0000 0.0000  2 Rb 3.90, 6 Y 4.16
4 Cs 0.5000 0.5000 0.5000  6 Cs 4.16

For the total energy, the calculation gives -1.7545 eV/atom. The value obtained for the density of states at the Fermi level is 6.8 states/eV per cell. The calculation puts the formation enthalpy at 0 K at 53.91 kJ/mol of atoms. The symmetry is R-3m.

***

No. 4
First-principles (PBE) data for TaTeBr2 after structural relaxation, as listed in Alexandria.

a = 3.1631 Å, b = 3.1634 Å, c = 10.1038 Å
α = 90.00°, β = 90.00°, γ = 90.00°
Last column: nearest neighbours and their distance in Å.
Fractional coordinates of all 4 atoms:
1 Te 0.5000 0.5000 0.7500  4 Te 3.16
2 Br 0.0000 0.0000 0.0867  4 Ta 2.78
3 Br 0.0000 0.0000 0.4133  4 Ta 2.78
4 Ta 0.5000 0.5000 0.2500  8 Br 2.78

For the total energy, the calculation gives -4.6446 eV/atom. The value obtained for the density of states at the Fermi level is 1.1 states/eV per cell. The symmetry is P4/mmm. The energy relative to the lowest polymorph listed for this composition is 1.52 eV per formula unit. For the energy relative to the elements, uncorrected, the calculation gives -0.0596 eV per atom.